1.
{
  "formula": "SbOs2Br",
  "functional": "SCAN",
  "state": "single point on PBEsol structure",
  "raw_formation_energy_mev_per_atom": 1165,
  "magnetic_moment_mub_per_fu": 0.0,
  "lattice": [[3.050, 0.000, 0.000], [-1.525, 4.239, 0.041], [0.000, -1.219, 5.169]],
  "species": ["Sb", "Os", "Os", "Br"],
  "frac_coords": [[0.000, 0.000, 0.500], [0.748, 0.496, 0.748], [0.252, 0.504, 0.252], [0.500, 0.000, 0.000]]
}

***

2.
{
  "formula": "GaSnW3",
  "functional": "SCAN",
  "state": "single point on PBEsol structure",
  "magnetic_moment_mub_per_fu": 0.0,
  "e_form_kj_per_mol_atoms": 178,
  "lattice": [[4.569, 0.000, 0.000], [0.000, 4.569, 0.000], [0.000, 0.000, 4.569]],
  "species": ["Ga", "Sn", "W", "W", "W"],
  "frac_coords": [[0.000, 0.000, 0.000], [0.500, 0.500, 0.500], [0.000, 0.500, 0.000], [0.000, 0.000, 0.500], [0.500, 0.000, 0.000]]
}

***

3.
{
  "formula": "Tb2Zn17",
  "functional": "SCAN",
  "state": "single point on PBEsol structure",
  "magnetic_moment_mub_per_fu": 0.0,
  "e_form_kj_per_mol_atoms": -29,
  "lattice": [[-4.493, -4.118, 6.087], [-2.045, -6.305, -5.774], [7.271, -0.707, 4.888]],
  "species": ["Tb", "Tb", "Tb", "Tb", "Zn", "Zn", "Zn", "Zn", "Zn", "Zn", "Zn", "Zn", "Zn", "Zn", "Zn", "Zn", "Zn", "Zn", "Zn", "Zn", "Zn", "Zn", "Zn", "Zn", "Zn", "Zn", "Zn", "Zn", "Zn", "Zn", "Zn", "Zn", "Zn", "Zn", "Zn", "Zn", "Zn", "Zn"],
  "frac_coords": [[0.250, 0.667, 0.333], [0.750, 0.333, 0.667], [0.750, 0.000, 0.000], [0.250, 0.000, 0.000], [0.979, 0.162, 0.838], [0.979, 0.676, 0.838], [0.979, 0.162, 0.324], [0.479, 0.838, 0.676], [0.398, 0.333, 0.667], [0.898, 0.667, 0.333], [0.602, 0.667, 0.333], [0.102, 0.333, 0.667], [0.500, 0.000, 0.500], [0.000, 0.500, 0.500], [0.000, 0.500, 0.000], [0.500, 0.500, 0.000], [0.500, 0.500, 0.500], [0.000, 0.000, 0.500], [0.250, 0.038, 0.671], [0.750, 0.671, 0.633], [0.750, 0.367, 0.038], [0.250, 0.633, 0.962], [0.250, 0.329, 0.367], [0.750, 0.962, 0.633], [0.750, 0.367, 0.329], [0.750, 0.962, 0.329], [0.750, 0.671, 0.038], [0.250, 0.329, 0.962], [0.250, 0.038, 0.367], [0.250, 0.633, 0.671], [0.521, 0.676, 0.838], [0.021, 0.838, 0.162], [0.021, 0.838, 0.676], [0.521, 0.162, 0.324], [0.521, 0.162, 0.838], [0.479, 0.324, 0.162], [0.479, 0.838, 0.162], [0.021, 0.324, 0.162]]
}

***

4.
{
  "formula": "BeReSe",
  "functional": "SCAN",
  "state": "single point on PBEsol structure",
  "raw_formation_energy_mev_per_atom": 714,
  "magnetic_moment_mub_per_fu": 0.0,
  "lattice": [[2.741, 0.057, 0.000], [-1.007, 2.550, 0.000], [-0.867, -1.304, 5.922]],
  "species": ["Re", "Se", "Be"],
  "frac_coords": [[0.651, 0.651, 0.303], [0.342, 0.342, 0.684], [0.007, 0.007, 0.014]]
}

***

Please write out number 3 again, unchanged.
{
  "formula": "Tb2Zn17",
  "functional": "SCAN",
  "state": "single point on PBEsol structure",
  "magnetic_moment_mub_per_fu": 0.0,
  "e_form_kj_per_mol_atoms": -29,
  "lattice": [[-4.493, -4.118, 6.087], [-2.045, -6.305, -5.774], [7.271, -0.707, 4.888]],
  "species": ["Tb", "Tb", "Tb", "Tb", "Zn", "Zn", "Zn", "Zn", "Zn", "Zn", "Zn", "Zn", "Zn", "Zn", "Zn", "Zn", "Zn", "Zn", "Zn", "Zn", "Zn", "Zn", "Zn", "Zn", "Zn", "Zn", "Zn", "Zn", "Zn", "Zn", "Zn", "Zn", "Zn", "Zn", "Zn", "Zn", "Zn", "Zn"],
  "frac_coords": [[0.250, 0.667, 0.333], [0.750, 0.333, 0.667], [0.750, 0.000, 0.000], [0.250, 0.000, 0.000], [0.979, 0.162, 0.838], [0.979, 0.676, 0.838], [0.979, 0.162, 0.324], [0.479, 0.838, 0.676], [0.398, 0.333, 0.667], [0.898, 0.667, 0.333], [0.602, 0.667, 0.333], [0.102, 0.333, 0.667], [0.500, 0.000, 0.500], [0.000, 0.500, 0.500], [0.000, 0.500, 0.000], [0.500, 0.500, 0.000], [0.500, 0.500, 0.500], [0.000, 0.000, 0.500], [0.250, 0.038, 0.671], [0.750, 0.671, 0.633], [0.750, 0.367, 0.038], [0.250, 0.633, 0.962], [0.250, 0.329, 0.367], [0.750, 0.962, 0.633], [0.750, 0.367, 0.329], [0.750, 0.962, 0.329], [0.750, 0.671, 0.038], [0.250, 0.329, 0.962], [0.250, 0.038, 0.367], [0.250, 0.633, 0.671], [0.521, 0.676, 0.838], [0.021, 0.838, 0.162], [0.021, 0.838, 0.676], [0.521, 0.162, 0.324], [0.521, 0.162, 0.838], [0.479, 0.324, 0.162], [0.479, 0.838, 0.162], [0.021, 0.324, 0.162]]
}